Crystalline TlGaHBr2 at its relaxed geometry. Source: the Alexandria database, functional PBE-GGA.

Results
M_tot: 1.0 μB per cell
Calculated volume: 39.51 Å³ per atom
VASP energy: -10.656 eV for the cell shown
Theoretical density: 3.7 g cm⁻³

Geometry as CIF:
```
data_TlGaHBr2
_cell_length_a 5.910
_cell_length_b 5.910
_cell_length_c 5.655
_cell_angle_alpha 90.00
_cell_angle_beta 90.00
_cell_angle_gamma 90.00
_space_group_name_H-M_alt 'P 4/m m m'
_space_group_IT_number 123
_space_group_name_Hall '-P 4 2'
loop_
_atom_site_label
_atom_site_type_symbol
_atom_site_fract_x
_atom_site_fract_y
_atom_site_fract_z
Tl1 Tl 0.000 0.000 0.000
Ga1 Ga 0.000 0.000 0.500
H1 H 0.500 0.500 0.500
Br1 Br 0.000 0.500 0.000
```



Crystalline CsTi3In at its relaxed geometry. Source: the Alexandria database, functional PBE-GGA.

Results
M_tot: 7.7 μB per cell
Energy of formation from the pure elements: 1.300 eV per atom
Calculated volume: 30.04 Å³ per atom
VASP energy: -20.774 eV for the cell shown
Theoretical density: 4.3 g cm⁻³

Geometry as CIF:
```
data_CsTi3In
_cell_length_a 5.316
_cell_length_b 5.316
_cell_length_c 5.316
_cell_angle_alpha 90.00
_cell_angle_beta 90.00
_cell_angle_gamma 90.00
_space_group_name_H-M_alt 'P m -3 m'
_space_group_IT_number 221
_space_group_name_Hall '-P 4 2 3'
loop_
_atom_site_label
_atom_site_type_symbol
_atom_site_fract_x
_atom_site_fract_y
_atom_site_fract_z
Cs1 Cs 0.000 0.000 0.000
Ti1 Ti 0.000 0.500 0.500
In1 In 0.500 0.500 0.500
```



Crystalline Sc2NbMo at its relaxed geometry. Source: the Alexandria database, functional PBE-GGA.

Results
M_tot: 0.0 μB per cell
Energy of formation from the pure elements: 0.474 eV per atom
Calculated volume: 19.93 Å³ per atom
VASP energy: -95.002 eV for the cell shown
Theoretical density: 5.8 g cm⁻³

Geometry as CIF:
```
data_Sc2NbMo
_cell_length_a 2.9761
_cell_length_b 2.9761
_cell_length_c 31.1856
_cell_angle_alpha 90.00
_cell_angle_beta 90.00
_cell_angle_gamma 120.00
_space_group_name_H-M_alt 'R -3 m'
_space_group_IT_number 166
_space_group_name_Hall '-R 3 2"'
loop_
_atom_site_label
_atom_site_type_symbol
_atom_site_fract_x
_atom_site_fract_y
_atom_site_fract_z
Sc1 Sc 0.0000 0.0000 0.0918
Nb1 Nb 0.0000 0.0000 0.0000
Mo1 Mo 0.0000 0.0000 0.5000
```



Crystalline NpTl2Cl4F2 at its relaxed geometry. Source: the Alexandria database, functional PBE-GGA.

Results
M_tot: 6.0 μB per cell
Calculated volume: 27.81 Å³ per atom
VASP energy: -91.355 eV for the cell shown
Energy relative to the elements, uncorrected: -1.88 eV/atom
Theoretical density: 5.5 g cm⁻³

Geometry as CIF:
```
data_NpTl2Cl4F2
_cell_length_a 11.773
_cell_length_b 7.634
_cell_length_c 5.617
_cell_angle_alpha 90.00
_cell_angle_beta 97.43
_cell_angle_gamma 90.00
_space_group_name_H-M_alt 'C 1 2/m 1'
_space_group_IT_number 12
_space_group_name_Hall '-C 2y'
loop_
_atom_site_label
_atom_site_type_symbol
_atom_site_fract_x
_atom_site_fract_y
_atom_site_fract_z
Np1 Np 0.000 0.000 0.000
Tl1 Tl 0.174 0.500 0.300
Cl1 Cl 0.110 0.253 0.794
F1 F 0.133 0.000 0.280
```